Crystalline SiSnSe2 at its relaxed geometry, computed with PBE.

a = 8.677 Å, b = 8.677 Å, c = 8.677 Å
α = 26.42°, β = 26.42°, γ = 26.42°
Positions (direct):
Si (0.000, 0.000, 0.000)
Sn (0.500, 0.500, 0.500)
Se (0.097, 0.097, 0.097)
Se (0.903, 0.903, 0.903)

Values from the calculation:
Space group: No. 166
N(E_F): 1.99 states/eV/cell
ΔE_f (raw): 165 meV per atom
Uncorrected energy: -0.289 Ry per atom
Crystal system: trigonal